Cu2TcRu (GGA-PBEsol, relaxed); energy relative to the lowest polymorph listed for this composition = 42 meV/atom; E_form = 0.21 eV/atom; energy = -29.28 eV per cell; SG = Cm; total magnetization = 0.00 Bohr magnetons per cell
1.0
4.297 -1.315 0.000
4.297 1.315 0.000
-0.748 0.000 4.476
Cu Tc Ru
2 1 1
Cartesian
0.000 0.000 0.000 Cu
6.259 0.000 0.908 Cu
3.912 0.000 2.227 Tc
1.624 0.000 3.155 Ru